VASP calculation (PBE with a Hubbard U) on a relaxed TcMoOF2 crystal.

a = 4.5927 Å, b = 4.5927 Å, c = 3.5973 Å
α = 90.00°, β = 90.00°, γ = 90.00°
Space group P4/mmm (No. 123)
Asymmetric unit:
1 Tc 0.0000 0.0000 0.0000 [1 per cell]
2 Mo 0.5000 0.5000 0.0000 [1 per cell]
3 O 0.0000 0.0000 0.5000 [1 per cell]
4 F 0.0000 0.5000 0.5000 [2 per cell]

Computed properties:
The total magnetic moment comes out at 0.2 Bohr magnetons per cell. The volume comes out at 75.9 Å³ per cell. As for the crystal system: tetragonal. The calculation puts the relative energy among the computed polymorphs at 873 meV/atom.